Record 1
IrPtBr2 | Alexandria via LeMat-Bulk | PBE | optimized geometry; energy above the lowest structure with this stoichiometry = 2.89 eV/f.u.; formation energy without anion corrections = 848 meV/atom
1.0
7.774 -0.009 -0.005
6.992 3.398 -0.005
6.992 1.605 2.995
Pt Br Ir
1 2 1
Direct
0.750 0.750 0.750 Pt
0.988 0.988 0.988 Br
0.512 0.512 0.512 Br
0.250 0.250 0.250 Ir

Record 2
IrPtBr2 | Alexandria via LeMat-Bulk | PBE | optimized geometry; energy above the lowest structure with this stoichiometry = 2.33 eV/f.u.; formation energy without anion corrections = 707 meV/atom
1.0
1.656 0.000 11.440
-0.828 1.435 11.440
-0.828 -1.435 11.440
Ir Br Pt
1 2 1
Direct
0.000 0.000 0.000 Ir
0.930 0.930 0.930 Br
0.070 0.070 0.070 Br
0.500 0.500 0.500 Pt

Record 3
IrPtBr2 | Alexandria via LeMat-Bulk | PBE | optimized geometry; energy above the lowest structure with this stoichiometry = 4.11 eV/f.u.; formation energy without anion corrections = 1153 meV/atom
1.0
-3.032 3.688 0.297
-0.435 -0.313 -4.754
-2.432 -2.028 0.356
Br Pt Ir
2 1 1
Direct
0.000 0.000 0.000 Br
0.500 0.500 0.000 Br
0.000 0.500 0.500 Pt
0.500 0.000 0.500 Ir

Record 4
Sm8Ir3PtBr4 | Alexandria via LeMat-Bulk | PBE | optimized geometry; formation energy without anion corrections = -1151 meV/atom
1.0
8.284 0.000 0.000
0.000 9.042 0.528
-4.142 -4.141 5.857
Br Sm Ir Pt
4 8 3 1
Direct
0.500 0.000 0.000 Br
0.000 0.000 0.000 Br
0.000 0.000 0.500 Br
0.500 0.000 0.500 Br
0.268 0.306 0.537 Sm
0.725 0.694 0.960 Sm
0.235 0.694 0.960 Sm
0.275 0.306 0.040 Sm
0.765 0.306 0.040 Sm
0.765 0.306 0.531 Sm
0.732 0.694 0.463 Sm
0.235 0.694 0.469 Sm
0.500 0.500 0.500 Ir
0.500 0.500 0.000 Ir
0.000 0.500 0.500 Ir
0.000 0.500 0.000 Pt

Record 5
Sm4IrPtBr2 | Alexandria via LeMat-Bulk | PBE | optimized geometry; formation energy without anion corrections = -1189 meV/atom
1.0
-4.088 0.391 0.615
-1.289 -1.060 -7.890
-0.846 -7.068 -1.131
Sm Br Ir Pt
4 2 1 1
Direct
0.500 0.694 0.273 Sm
0.500 0.306 0.727 Sm
0.000 0.695 0.761 Sm
0.000 0.305 0.239 Sm
0.500 0.000 0.500 Br
0.000 0.000 0.000 Br
0.000 0.500 0.500 Ir
0.500 0.500 0.000 Pt

Record 6
Sm8IrPt3Br4 | Alexandria via LeMat-Bulk | PBE | optimized geometry; formation energy without anion corrections = -1225 meV/atom
1.0
8.329 0.000 0.000
0.000 9.059 0.508
-4.165 -4.164 5.888
Pt Br Sm Ir
3 4 8 1
Direct
0.500 0.500 0.000 Pt
0.500 0.500 0.500 Pt
0.000 0.500 0.500 Pt
0.000 0.000 0.500 Br
0.000 0.000 0.000 Br
0.500 0.000 0.500 Br
0.500 0.000 0.000 Br
0.771 0.304 0.542 Sm
0.229 0.696 0.458 Sm
0.268 0.304 0.536 Sm
0.262 0.304 0.033 Sm
0.738 0.696 0.967 Sm
0.229 0.696 0.967 Sm
0.771 0.304 0.033 Sm
0.732 0.696 0.464 Sm
0.000 0.500 0.000 Ir

Record 7
SnIrPtBr2 | Alexandria via LeMat-Bulk | PBE | optimized geometry; formation energy without anion corrections = 1031 meV/atom
1.0
-1.847 3.695 -2.908
-3.939 -3.229 -1.601
-2.867 1.591 3.843
Br Ir Pt Sn
2 1 1 1
Direct
0.500 0.000 0.000 Br
0.000 0.000 0.500 Br
0.500 0.500 0.500 Ir
0.000 0.000 0.000 Pt
0.000 0.500 0.000 Sn

Record 8
TaIrPt2Br | Alexandria via LeMat-Bulk | PBE | optimized geometry; formation energy without anion corrections = 1181 meV/atom
1.0
4.935 0.000 0.000
0.000 4.795 0.000
0.000 0.000 4.935
Ir Pt Ta Br
1 2 1 1
Direct
0.000 0.000 0.000 Ir
0.500 0.000 0.000 Pt
0.000 0.000 0.500 Pt
0.000 0.500 0.000 Ta
0.500 0.500 0.500 Br

no.,size of the total moment (μB per atom)
1,0.00
2,0.00
3,0.00
4,0.00
5,0.00
6,0.00
7,0.47
8,0.00